<w>
# RbZrRe3

A relaxed RbZrRe3 crystal (PBE-GGA, Alexandria).

Cell lengths 5.0505, 5.0505, 5.0505 Å; angles 90.00, 90.00, 90.00 degrees
Positions (direct):
Rb (0.0000, 0.0000, 0.0000)
Zr (0.5000, 0.5000, 0.5000)
Re (0.0000, 0.5000, 0.5000)
Re (0.5000, 0.0000, 0.5000)
Re (0.5000, 0.5000, 0.0000)

## Properties
As for the density: 9478 kg/m³.


<x>
# RbZrRe3

A relaxed RbZrRe3 crystal (PBE-GGA, Alexandria).

Cell lengths 4.6710, 4.6710, 4.6710 Å; angles 90.00, 90.00, 90.00 degrees
Positions (direct):
Rb (0.0000, 0.0000, 0.0000)
Zr (0.5000, 0.5000, 0.5000)
Re (0.0000, 0.0000, 0.5000)
Re (0.0000, 0.5000, 0.0000)
Re (0.5000, 0.0000, 0.0000)

## Properties
As for the density: 11981 kg/m³.


Preferred: <w>; penalty for the next structure: 0.855 eV/atom.


<w>
# RbZrRe2

A relaxed RbZrRe2 crystal (PBE-GGA, Alexandria).

Cell lengths 6.8521, 6.8521, 6.8521 Å; angles 90.00, 90.00, 90.00 degrees
Positions (direct):
Rb (0.0000, 0.0000, 0.0000)
Rb (0.0000, 0.5000, 0.5000)
Rb (0.5000, 0.0000, 0.5000)
Rb (0.5000, 0.5000, 0.0000)
Zr (0.0000, 0.0000, 0.5000)
Zr (0.0000, 0.5000, 0.0000)
Zr (0.5000, 0.0000, 0.0000)
Zr (0.5000, 0.5000, 0.5000)
Re (0.2500, 0.2500, 0.2500)
Re (0.2500, 0.2500, 0.7500)
Re (0.2500, 0.7500, 0.2500)
Re (0.2500, 0.7500, 0.7500)
Re (0.7500, 0.2500, 0.2500)
Re (0.7500, 0.2500, 0.7500)
Re (0.7500, 0.7500, 0.2500)
Re (0.7500, 0.7500, 0.7500)

## Properties
As for the density: 11337 kg/m³.


<x>
# RbZrRe2

A relaxed RbZrRe2 crystal (PBE-GGA, Alexandria).

Cell lengths 4.8528, 4.8528, 19.0635 Å; angles 90.00, 90.00, 90.00 degrees
Positions (direct):
Rb (0.0000, 0.0000, 0.0000)
Rb (0.0000, 0.5000, 0.2500)
Rb (0.5000, 0.0000, 0.7500)
Rb (0.5000, 0.5000, 0.5000)
Zr (0.0000, 0.0000, 0.5000)
Zr (0.0000, 0.5000, 0.7500)
Zr (0.5000, 0.0000, 0.2500)
Zr (0.5000, 0.5000, 0.0000)
Re (0.0636, 0.2500, 0.6250)
Re (0.2500, 0.5636, 0.8750)
Re (0.2500, 0.9364, 0.3750)
Re (0.4364, 0.2500, 0.1250)
Re (0.5636, 0.7500, 0.1250)
Re (0.7500, 0.0636, 0.3750)
Re (0.7500, 0.4364, 0.8750)
Re (0.9364, 0.7500, 0.6250)

## Properties
As for the density: 8124 kg/m³.


Preferred: <x>; penalty for the next structure: 0.107 eV/atom.